The following is a PBE calculation of crystalline CeErSc2 at its relaxed geometry, from the Alexandria database.

POSCAR file:
```
CeErSc2
1.0
5.373 0.000 0.000
2.686 4.653 0.000
2.686 1.551 4.387
Sc Ce Er
2 1 1
Direct
0.250 0.250 0.250
0.750 0.750 0.750
0.500 0.500 0.500
0.000 0.000 0.000
```

As for the excess energy over the best structure of this formula in the dataset: 0.018 eV/atom. For the density of states at the Fermi level, the calculation gives 6.7 states/eV per cell.